(1)
Here is a relaxed PuHf2Pa crystal from Alexandria. Energies are from PBE-GGA.

Cell lengths 4.4056, 4.4056, 4.8263 Å; angles 90.00, 90.00, 90.00 degrees
Closest atoms and distances in Å follow each position.
Atoms (fractional coordinates):
Pu1 0.0000 0.0000 0.0000  4 Pa 3.12, 8 Hf 3.27
Hf1 0.0000 0.5000 0.5000  4 Hf 3.12, 4 Pa 3.27, 4 Pu 3.27
Hf2 0.5000 0.0000 0.5000  4 Hf 3.12, 4 Pa 3.27, 4 Pu 3.27
Pa1 0.5000 0.5000 0.0000  4 Pu 3.12, 8 Hf 3.27

Summary:
- M_tot: 5.39 μB per formula unit
- ΔH_f (0 K): 0.09 eV/atom
- Energy above the lowest structure with this stoichiometry: 0 meV/atom

(2)
Here is a relaxed PuHf2Pa crystal from Alexandria. Energies are from PBE-GGA.

Cell lengths 10.7907, 10.7907, 10.7907 Å; angles 17.23, 17.23, 17.23 degrees
Closest atoms and distances in Å follow each position.
Atoms (fractional coordinates):
Pu1 0.0000 0.0000 0.0000  6 Pu 3.23, 6 Hf 3.25-3.26
Hf1 0.5828 0.5828 0.5828  6 Hf 3.23, 3 Pa 3.24, 3 Pu 3.26
Hf2 0.7500 0.7500 0.7500  6 Hf 3.23, 3 Pa 3.24, 3 Pu 3.25
Pa1 0.1663 0.1663 0.1663  6 Pa 3.23, 6 Hf 3.24

Summary:
- M_tot: 5.64 μB per formula unit
- ΔH_f (0 K): 0.18 eV/atom
- Energy above the lowest structure with this stoichiometry: 82 meV/atom

(3)
Here is a relaxed Pu2HfPa crystal from Alexandria. Energies are from PBE-GGA.

Cell lengths 10.5867, 10.5867, 10.5867 Å; angles 17.70, 17.70, 17.70 degrees
Closest atoms and distances in Å follow each position.
Atoms (fractional coordinates):
Pu1 0.2493 0.2493 0.2493  3 Pa 3.19, 3 Hf 3.23, 6 Pu 3.26
Pu2 0.7507 0.7507 0.7507  3 Pa 3.19, 3 Hf 3.23, 6 Pu 3.26
Hf1 0.0000 0.0000 0.0000  6 Pu 3.23, 6 Hf 3.26
Pa1 0.5000 0.5000 0.5000  6 Pu 3.19, 6 Pa 3.26

Summary:
- M_tot: 10.12 μB per formula unit
- ΔH_f (0 K): 0.15 eV/atom
- Energy above the lowest structure with this stoichiometry: 0 meV/atom

(4)
Here is a relaxed Pu2HfPa crystal from Alexandria. Energies are from PBE-GGA.

Cell lengths 4.6383, 4.6383, 4.4663 Å; angles 90.00, 90.00, 90.00 degrees
Closest atoms and distances in Å follow each position.
Atoms (fractional coordinates):
Pu1 0.0000 0.5000 0.0000  4 Hf 3.22, 4 Pa 3.22, 4 Pu 3.28
Pu2 0.5000 0.0000 0.0000  4 Hf 3.22, 4 Pa 3.22, 4 Pu 3.28
Hf1 0.0000 0.0000 0.5000  8 Pu 3.22, 4 Pa 3.28
Pa1 0.5000 0.5000 0.5000  8 Pu 3.22, 4 Hf 3.28

Summary:
- M_tot: 10.31 μB per formula unit
- ΔH_f (0 K): 0.18 eV/atom
- Energy above the lowest structure with this stoichiometry: 25 meV/atom

(5)
Here is a relaxed PuHf2Pa crystal from Alexandria. Energies are from PBE-GGA.

Cell lengths 3.1362, 3.1362, 9.6623 Å; angles 90.00, 90.00, 90.00 degrees
Closest atoms and distances in Å follow each position.
Atoms (fractional coordinates):
Pu1 0.0000 0.0000 0.0000  4 Pu 3.14, 8 Hf 3.26
Hf1 0.5000 0.5000 0.2476  4 Hf 3.14, 4 Pu 3.26, 4 Pa 3.30
Hf2 0.5000 0.5000 0.7524  4 Hf 3.14, 4 Pu 3.26, 4 Pa 3.30
Pa1 0.0000 0.0000 0.5000  4 Pa 3.14, 8 Hf 3.30

Summary:
- M_tot: 5.21 μB per formula unit
- ΔH_f (0 K): 0.15 eV/atom
- Energy above the lowest structure with this stoichiometry: 55 meV/atom

(6)
Here is a relaxed PuHf2Pa crystal from Alexandria. Energies are from PBE-GGA.

Cell lengths 5.1269, 5.1269, 5.1269 Å; angles 60.00, 60.00, 60.00 degrees
Closest atoms and distances in Å follow each position.
Atoms (fractional coordinates):
Pu1 0.0000 0.0000 0.0000  8 Hf 3.14
Hf1 0.2500 0.2500 0.2500  4 Pa 3.14, 4 Pu 3.14
Hf2 0.7500 0.7500 0.7500  4 Pu 3.14, 4 Pa 3.14
Pa1 0.5000 0.5000 0.5000  8 Hf 3.14

Summary:
- M_tot: 6.88 μB per formula unit
- ΔH_f (0 K): 0.28 eV/atom
- Energy above the lowest structure with this stoichiometry: 188 meV/atom

(7)
Here is a relaxed Pu2HfPa crystal from Alexandria. Energies are from PBE-GGA.

Cell lengths 5.1102, 5.1102, 5.1102 Å; angles 60.00, 60.00, 60.00 degrees
Closest atoms and distances in Å follow each position.
Atoms (fractional coordinates):
Pu1 0.2500 0.2500 0.2500  4 Hf 3.13, 4 Pa 3.13
Pu2 0.7500 0.7500 0.7500  4 Hf 3.13, 4 Pa 3.13
Hf1 0.0000 0.0000 0.0000  8 Pu 3.13
Pa1 0.5000 0.5000 0.5000  8 Pu 3.13

Summary:
- M_tot: 11.65 μB per formula unit
- ΔH_f (0 K): 0.25 eV/atom
- Energy above the lowest structure with this stoichiometry: 95 meV/atom

(8)
Here is a relaxed PuHf2Pa6 crystal from Alexandria. Energies are from PBE-GGA.

Cell lengths 8.4582, 8.4582, 5.5848 Å; angles 99.15, 99.15, 141.77 degrees
Closest atoms and distances in Å follow each position.
Atoms (fractional coordinates):
Pu1 0.0000 0.0000 0.0000  10 Pa 3.08-3.26
Hf1 0.1678 0.8322 0.5000  10 Pa 3.14-3.26
Hf2 0.8322 0.1678 0.5000  10 Pa 3.14-3.26
Pa1 0.1626 0.4926 0.1643  1 Pu 3.08, 5 Pa 3.10-3.28, 4 Hf 3.14-3.26
Pa2 0.3375 0.3375 0.6670  5 Pa 3.10-3.27, 2 Hf 3.14, 3 Pu 3.21-3.26
Pa3 0.4926 0.1626 0.1643  1 Pu 3.08, 5 Pa 3.10-3.28, 4 Hf 3.14-3.26
Pa4 0.5074 0.8374 0.8357  1 Pu 3.08, 5 Pa 3.10-3.28, 4 Hf 3.14-3.26
Pa5 0.6625 0.6625 0.3330  5 Pa 3.10-3.27, 2 Hf 3.14, 3 Pu 3.21-3.26
Pa6 0.8374 0.5074 0.8357  1 Pu 3.08, 5 Pa 3.10-3.28, 4 Hf 3.14-3.26

Summary:
- M_tot: 4.58 μB per formula unit
- ΔH_f (0 K): 0.12 eV/atom